--- A ---
Material: ErTm2Cu2
Method: DFT, PBE-GGA
State: optimized geometry

```
10
Lattice="3.6618 0.0000 0.0000 -1.8309 6.9069 0.0000 0.0000 0.0000 9.1631" Properties=species:S:1:pos:R:3 pbc="T T T"
Tm 0.0000 4.2171 7.9525
Tm 0.0000 1.5509 5.9787
Tm 1.8309 5.3560 1.3972
Tm 1.8309 2.6898 3.3710
Er 0.0000 5.7825 4.5454
Er 1.8309 1.1244 9.1269
Cu 1.8309 3.8722 5.9166
Cu 0.0000 3.0347 1.3351
Cu 0.0000 0.6636 2.9613
Cu 1.8309 6.2433 7.5429
```

Calculated values
Total magnetization (Bohr magnetons per cell): 0.000
D(E_F) (states/eV/cell): 10.60
Space group: Cmc2_1, No. 36
Crystal system: orthorhombic



--- B ---
Material: ErTm2Cu2
Method: DFT, PBE-GGA
State: optimized geometry

```
10
Lattice="3.4091 0.0000 -0.4561 0.0000 4.9925 0.0000 -0.0018 0.0000 12.9213" Properties=species:S:1:pos:R:3 pbc="T T T"
Cu 2.1797 3.7444 3.3110
Cu 1.2277 1.2481 9.1542
Cu 1.5516 3.7444 11.5345
Cu 1.8557 1.2481 0.9307
Er 0.4830 1.2481 3.5895
Er 2.9243 3.7444 8.8757
Tm 0.7820 3.7444 5.8234
Tm 0.1588 3.7444 1.1808
Tm 2.6254 1.2481 6.6418
Tm 3.2485 1.2481 11.2843
```

Calculated values
Total magnetization (Bohr magnetons per cell): 0.000
D(E_F) (states/eV/cell): 7.68
Space group: P2_1/m, No. 11
Crystal system: monoclinic



Unit: eV/atom. Relative energies: A 0.074; B 0.000.



--- A ---
Material: ErTmCu4
Method: DFT, PBE-GGA
State: optimized geometry

```
6
Lattice="-3.1435 0.4351 -2.8368 0.5900 -3.1719 -4.3337 -3.9494 -3.6333 0.6257" Properties=species:S:1:pos:R:3 pbc="T T T"
Tm -1.5815 -0.1085 -1.4576
Cu -3.0152 -2.3525 -0.2131
Cu -3.9578 -4.0677 -5.8186
Cu -0.2733 -2.0738 -3.2087
Cu -5.7598 -4.2508 -3.8498
Er -3.2416 -2.8546 -3.2326
```

Calculated values
Total magnetization (Bohr magnetons per cell): 0.000
D(E_F) (states/eV/cell): 2.86
Space group: Imm2, No. 44
Crystal system: orthorhombic



--- B ---
Material: ErTmCu4
Method: DFT, PBE-GGA
State: optimized geometry

```
6
Lattice="5.2192 0.0000 0.0000 2.6096 4.5200 0.0000 2.6096 1.5067 4.2615" Properties=species:S:1:pos:R:3 pbc="T T T"
Cu 5.2192 3.0133 0.5313
Cu 6.5252 3.7673 2.6639
Cu 5.2192 1.5054 2.6639
Cu 3.9133 3.7673 2.6639
Tm 0.0000 0.0000 0.0000
Er 2.6096 1.5067 1.0654
```

Calculated values
Total magnetization (Bohr magnetons per cell): 0.000
D(E_F) (states/eV/cell): 4.77
Space group: F-43m, No. 216
Crystal system: cubic



Unit: eV/atom. Relative energies: A 0.000; B 0.086.



--- A ---
Material: ErTm3Cu2
Method: DFT, PBE-GGA
State: optimized geometry

```
12
Lattice="-1.0639 2.3647 -4.0796 0.0837 -5.8831 -3.4319 -8.3645 -1.0399 1.5786" Properties=species:S:1:pos:R:3 pbc="T T T"
Cu -1.7678 -0.3911 -2.6295
Cu -7.5784 -4.0602 -3.2410
Cu -2.8552 -4.8297 -2.0549
Cu -5.4241 -2.2023 0.1380
Tm -7.7017 -3.8072 -0.1983
Tm -5.5131 -5.7289 -1.8830
Tm -2.7500 -2.4387 -0.6964
Tm -7.4881 -0.5332 -1.2201
Tm -1.8743 -2.7821 -3.9877
Tm -0.5400 -5.8636 -3.2579
Er -5.2977 -2.4520 -2.9036
Er -4.0862 0.6453 -1.4242
```

Calculated values
Total magnetization (Bohr magnetons per cell): 0.000
D(E_F) (states/eV/cell): 12.09
Space group: Pmc2_1, No. 26
Crystal system: orthorhombic



--- B ---
Material: ErTm3Cu2
Method: DFT, PBE-GGA
State: optimized geometry

```
12
Lattice="-6.2900 0.6396 -2.2042 -0.3217 -6.9582 -1.1011 1.0531 2.2863 7.8278" Properties=species:S:1:pos:R:3 pbc="T T T"
Tm -3.2254 -1.4198 -1.3774
Tm -4.4242 -1.8843 1.9086
Tm -1.1344 -2.1480 2.6138
Tm -1.2952 -5.6271 2.0633
Tm -4.2633 1.5948 2.4592
Tm -3.3862 -4.8989 -1.9280
Er -0.1608 -3.4791 -0.5506
Er 0.0000 0.0000 0.0000
Cu -0.4673 -4.2378 4.3333
Cu -2.9225 -0.4927 3.9671
Cu -5.0912 0.2054 0.1891
Cu -2.6361 -3.5397 0.5553
```

Calculated values
Total magnetization (Bohr magnetons per cell): 0.000
D(E_F) (states/eV/cell): 13.27
Space group: Ibam, No. 72
Crystal system: orthorhombic



Unit: eV/atom. Relative energies: A 0.000; B 0.183.



--- A ---
Material: Er2TmCu2
Method: DFT, PBE-GGA
State: optimized geometry

```
10
Lattice="3.4245 0.0000 -0.4583 0.0000 4.9978 0.0000 -0.0043 0.0000 12.9641" Properties=species:S:1:pos:R:3 pbc="T T T"
Cu 1.2251 1.2494 9.1742
Cu 2.1950 3.7483 3.3316
Cu 1.8745 1.2494 0.9589
Cu 1.5456 3.7483 11.5469
Er 0.1612 3.7483 1.1880
Er 3.2590 1.2494 11.3179
Er 2.6344 1.2494 6.6599
Er 0.7857 3.7483 5.8460
Tm 0.4862 1.2494 3.6010
Tm 2.9339 3.7483 8.9049
```

Calculated values
Total magnetization (Bohr magnetons per cell): 0.000
D(E_F) (states/eV/cell): 7.52
Space group: P2_1/m, No. 11
Crystal system: monoclinic



--- B ---
Material: Er2TmCu2
Method: DFT, PBE-GGA
State: optimized geometry

```
10
Lattice="-0.4918 -3.2097 -1.7064 4.6997 -1.3873 5.1979 -6.9192 -1.9841 5.7264" Properties=species:S:1:pos:R:3 pbc="T T T"
Er -3.5111 -1.9649 4.7081
Er 2.1574 -4.2270 3.3864
Er -1.0526 -3.4977 2.9397
Er -3.2789 -3.5482 7.6192
Cu -1.8451 -0.9288 2.2789
Cu -2.1799 -4.5760 5.2930
Cu -1.9307 -5.9577 7.8201
Cu 0.9375 -1.5840 2.7093
Tm -6.4095 -4.0670 5.5545
Tm 0.3005 -3.4886 6.4755
```

Calculated values
Total magnetization (Bohr magnetons per cell): 0.000
D(E_F) (states/eV/cell): 10.55
Space group: Cmc2_1, No. 36
Crystal system: orthorhombic



Unit: eV/atom. Relative energies: A 0.000; B 0.078.